Below is a relaxed Ce2PrInO crystal, with properties calculated at the GGA-PBE level.

Properties
formation energy from raw total energies = -1328 meV/atom
theoretical density = 7.5 g/cm³
E = -6.197 eV per atom

Cell and atoms, written as CIF:
```
data_Ce2PrInO
_space_group_name_H-M_alt 'P 4/m m m'
_space_group_IT_number 123
_space_group_name_Hall '-P 4 2'
_cell_length_a 4.883
_cell_length_b 4.883
_cell_length_c 5.106
_cell_angle_alpha 90.00
_cell_angle_beta 90.00
_cell_angle_gamma 90.00
loop_
_atom_site_label
_atom_site_type_symbol
_atom_site_fract_x
_atom_site_fract_y
_atom_site_fract_z
Ce1 Ce 0.000 0.500 0.000
Pr1 Pr 0.000 0.000 0.500
In1 In 0.500 0.500 0.500
O1 O 0.000 0.000 0.000
```

***

Below is a relaxed CePr2InO crystal, with properties calculated at the GGA-PBE level.

Properties
formation energy from raw total energies = -1347 meV/atom
theoretical density = 7.4 g/cm³
E = -5.985 eV per atom

Cell and atoms, written as CIF:
```
data_CePr2InO
_space_group_name_H-M_alt 'P 4/m m m'
_space_group_IT_number 123
_space_group_name_Hall '-P 4 2'
_cell_length_a 5.065
_cell_length_b 5.065
_cell_length_c 4.867
_cell_angle_alpha 90.00
_cell_angle_beta 90.00
_cell_angle_gamma 90.00
loop_
_atom_site_label
_atom_site_type_symbol
_atom_site_fract_x
_atom_site_fract_y
_atom_site_fract_z
Ce1 Ce 0.000 0.000 0.000
Pr1 Pr 0.000 0.500 0.500
In1 In 0.500 0.500 0.000
O1 O 0.000 0.000 0.500
```

***

Below is a relaxed Rb3Ce3InO8 crystal, with properties calculated at the GGA-PBE level.

Properties
formation energy from raw total energies = -2442 meV/atom
theoretical density = 5.2 g/cm³
E = -6.649 eV per atom

Cell and atoms, written as CIF:
```
data_Rb3Ce3InO8
_space_group_name_H-M_alt 'R -3 m'
_space_group_IT_number 166
_space_group_name_Hall '-R 3 2"'
_cell_length_a 7.1392
_cell_length_b 7.1392
_cell_length_c 19.8937
_cell_angle_alpha 90.00
_cell_angle_beta 90.00
_cell_angle_gamma 120.00
loop_
_atom_site_label
_atom_site_type_symbol
_atom_site_fract_x
_atom_site_fract_y
_atom_site_fract_z
Rb1 Rb 0.0000 0.5000 0.0000
Ce1 Ce 0.0000 0.5000 0.5000
In1 In 0.0000 0.0000 0.5000
O1 O 0.0000 0.0000 0.2250
O2 O 0.0094 0.5047 0.2227
```

***

Below is a relaxed CeInSbO6 crystal, with properties calculated at the GGA-PBE level.

Properties
formation energy from raw total energies = -2095 meV/atom
theoretical density = 6.3 g/cm³
E = -6.823 eV per atom

Cell and atoms, written as CIF:
```
data_CeInSbO6
_space_group_name_H-M_alt 'P -3 1 c'
_space_group_IT_number 163
_space_group_name_Hall '-P 3 2c'
_cell_length_a 5.4389
_cell_length_b 5.4389
_cell_length_c 9.7487
_cell_angle_alpha 90.00
_cell_angle_beta 90.00
_cell_angle_gamma 120.00
loop_
_atom_site_label
_atom_site_type_symbol
_atom_site_fract_x
_atom_site_fract_y
_atom_site_fract_z
Ce1 Ce 0.0000 0.0000 0.0000
In1 In 0.3333 0.6667 0.2500
Sb1 Sb 0.3333 0.6667 0.7500
O1 O 0.0246 0.3594 0.6344
```

***

Below is a relaxed CeInSe2O crystal, with properties calculated at the GGA-PBE level.

Properties
formation energy from raw total energies = -1775 meV/atom
theoretical density = 6.4 g/cm³
E = -5.895 eV per atom

Cell and atoms, written as CIF:
```
data_CeInSe2O
_space_group_name_H-M_alt 'P 4/n m m'
_space_group_IT_number 129
_cell_length_a 3.983
_cell_length_b 3.983
_cell_length_c 14.056
_cell_angle_alpha 90.00
_cell_angle_beta 90.00
_cell_angle_gamma 90.00
loop_
_space_group_symop_operation_xyz
'x,y,z'
'-x,-y,-z'
'-y+1/2,x,z'
'y+1/2,-x,-z'
'-x+1/2,-y+1/2,z'
'x+1/2,y+1/2,-z'
'y,-x+1/2,z'
'-y,x+1/2,-z'
'x+1/2,-y,-z'
'-x+1/2,y,z'
'-y,-x,-z'
'y,x,z'
'-x,y+1/2,-z'
'x,-y+1/2,z'
'y+1/2,x+1/2,-z'
'-y+1/2,-x+1/2,z'
loop_
_atom_site_label
_atom_site_type_symbol
_atom_site_fract_x
_atom_site_fract_y
_atom_site_fract_z
Ce1 Ce 0.250 0.250 0.089
In1 In 0.250 0.250 0.615
Se1 Se 0.250 0.250 0.400
Se2 Se 0.250 0.250 0.810
O1 O 0.250 0.750 0.000
```

***

Below is a relaxed CeSm2InO crystal, with properties calculated at the GGA-PBE level.

Properties
formation energy from raw total energies = -1363 meV/atom
theoretical density = 8.0 g/cm³
E = -5.977 eV per atom

Cell and atoms, written as CIF:
```
data_CeSm2InO
_space_group_name_H-M_alt 'P 4/m m m'
_space_group_IT_number 123
_space_group_name_Hall '-P 4 2'
_cell_length_a 4.942
_cell_length_b 4.942
_cell_length_c 4.871
_cell_angle_alpha 90.00
_cell_angle_beta 90.00
_cell_angle_gamma 90.00
loop_
_atom_site_label
_atom_site_type_symbol
_atom_site_fract_x
_atom_site_fract_y
_atom_site_fract_z
Ce1 Ce 0.000 0.000 0.000
Sm1 Sm 0.000 0.500 0.500
In1 In 0.500 0.500 0.000
O1 O 0.000 0.000 0.500
```

***

Please write out number 4 again, unchanged.
Below is a relaxed CeInSbO6 crystal, with properties calculated at the GGA-PBE level.

Properties
formation energy from raw total energies = -2095 meV/atom
theoretical density = 6.3 g/cm³
E = -6.823 eV per atom

Cell and atoms, written as CIF:
```
data_CeInSbO6
_space_group_name_H-M_alt 'P -3 1 c'
_space_group_IT_number 163
_space_group_name_Hall '-P 3 2c'
_cell_length_a 5.4389
_cell_length_b 5.4389
_cell_length_c 9.7487
_cell_angle_alpha 90.00
_cell_angle_beta 90.00
_cell_angle_gamma 120.00
loop_
_atom_site_label
_atom_site_type_symbol
_atom_site_fract_x
_atom_site_fract_y
_atom_site_fract_z
Ce1 Ce 0.0000 0.0000 0.0000
In1 In 0.3333 0.6667 0.2500
Sb1 Sb 0.3333 0.6667 0.7500
O1 O 0.0246 0.3594 0.6344
```

***

- What is the formula in the third record?
  Rb3Ce3InO8

***

- What is the E in the fifth record?
  -5.895 eV per atom

***

- theoretical density of number 4 (CeInSbO6)?
  6.3 g/cm³